No. 1
NaErSb2: optimized geometry, GGA-PBE.

Unit cell a=4.746 b=4.746 c=6.767 alpha=69.47 beta=69.47 gamma=60.00
Atoms (fractional coordinates):
Er (0.672, 0.672, 0.985)
Na (0.491, 0.491, 0.527)
Sb (0.251, 0.251, 0.246)
Sb (0.086, 0.086, 0.742)

Computed properties:
- energy relative to the elements, uncorrected (eV per atom) = -0.541
- calculated volume (Å³/cell) = 120.7



No. 2
NaErSb2: optimized geometry, GGA-PBE.

Unit cell a=4.011 b=4.011 c=6.907 alpha=90.00 beta=90.00 gamma=90.00
Atoms (fractional coordinates):
Sb (0.000, 0.000, 0.776)
Sb (0.000, 0.000, 0.224)
Na (0.500, 0.500, 0.500)
Er (0.500, 0.500, 0.000)

Computed properties:
- energy relative to the elements, uncorrected (eV per atom) = -0.573
- calculated volume (Å³/cell) = 111.1



No. 3
NaErSb2: optimized geometry, GGA-PBE.

Unit cell a=4.219 b=4.977 c=4.977 alpha=90.00 beta=90.00 gamma=90.00
Atoms (fractional coordinates):
Sb (0.000, 0.500, 0.000)
Er (0.500, 0.500, 0.500)
Na (0.500, 0.000, 0.000)
Sb (0.000, 0.000, 0.500)

Computed properties:
- energy relative to the elements, uncorrected (eV per atom) = -0.535
- calculated volume (Å³/cell) = 104.5



No. 4
Na3Er2SbSe6: optimized geometry, GGA-PBE.

Unit cell a=7.170 b=7.170 c=7.395 alpha=99.30 beta=99.30 gamma=120.00
Atoms (fractional coordinates):
Se (0.413, 0.076, 0.228)
Er (0.333, 0.667, 0.000)
Sb (0.000, 0.000, 0.000)
Se (0.924, 0.587, 0.772)
Se (0.739, 0.739, 0.227)
Na (0.163, 0.837, 0.500)
Se (0.076, 0.413, 0.228)
Na (0.837, 0.163, 0.500)
Se (0.261, 0.261, 0.773)
Se (0.587, 0.924, 0.772)
Er (0.667, 0.333, 0.000)
Na (0.500, 0.500, 0.500)

Computed properties:
- energy relative to the elements, uncorrected (eV per atom) = -1.349
- calculated volume (Å³/cell) = 311.6



No. 5
Na3Er3SbSe8: optimized geometry, GGA-PBE.

Unit cell a=8.175 b=8.175 c=8.501 alpha=118.75 beta=90.00 gamma=120.00
Atoms (fractional coordinates):
Se (0.742, 0.485, 0.727)
Se (0.761, 0.523, 0.276)
Se (0.747, 0.985, 0.724)
Se (0.253, 0.015, 0.276)
Se (0.239, 0.985, 0.724)
Se (0.761, 0.015, 0.276)
Na (0.000, 0.000, 0.000)
Se (0.258, 0.515, 0.273)
Sb (0.000, 0.000, 0.500)
Er (0.500, 0.000, 0.500)
Se (0.239, 0.477, 0.724)
Er (0.500, 0.500, 0.500)
Na (0.000, 0.500, 0.000)
Na (0.500, 0.500, 0.000)
Er (0.000, 0.500, 0.500)

Computed properties:
- energy relative to the elements, uncorrected (eV per atom) = -1.383
- calculated volume (Å³/cell) = 409.1



No. 6
Na3ErSb2Se6: optimized geometry, GGA-PBE.

Unit cell a=7.198 b=7.198 c=7.423 alpha=99.29 beta=99.29 gamma=120.03
Atoms (fractional coordinates):
Se (0.076, 0.406, 0.229)
Se (0.253, 0.253, 0.769)
Sb (0.666, 0.334, 0.000)
Se (0.747, 0.747, 0.231)
Na (0.828, 0.172, 0.500)
Na (0.172, 0.828, 0.500)
Se (0.594, 0.924, 0.771)
Se (0.406, 0.076, 0.229)
Se (0.924, 0.594, 0.771)
Na (0.500, 0.500, 0.500)
Sb (0.334, 0.666, 0.000)
Er (0.000, 0.000, 0.000)

Computed properties:
- energy relative to the elements, uncorrected (eV per atom) = -0.995
- calculated volume (Å³/cell) = 315.1



No. 7
Na3ErSb3Se8: optimized geometry, GGA-PBE.

Unit cell a=8.187 b=8.190 c=8.611 alpha=118.45 beta=90.00 gamma=119.99
Atoms (fractional coordinates):
Na (0.000, 0.500, 0.000)
Sb (0.500, 0.500, 0.500)
Se (0.759, 0.519, 0.276)
Sb (0.500, 0.000, 0.500)
Na (0.000, 0.000, 0.000)
Na (0.500, 0.500, 0.000)
Se (0.744, 0.488, 0.731)
Se (0.743, 0.984, 0.724)
Se (0.257, 0.016, 0.276)
Se (0.759, 0.016, 0.276)
Se (0.241, 0.481, 0.724)
Er (0.000, 0.000, 0.500)
Se (0.256, 0.512, 0.269)
Se (0.241, 0.984, 0.724)
Sb (0.000, 0.500, 0.500)

Computed properties:
- energy relative to the elements, uncorrected (eV per atom) = -0.795
- calculated volume (Å³/cell) = 417.7



No. 8
Na2ErSbSe4: optimized geometry, GGA-PBE.

Unit cell a=4.133 b=7.209 c=7.409 alpha=108.78 beta=90.00 gamma=90.00
Atoms (fractional coordinates):
Na (0.000, 0.500, 0.500)
Er (0.000, 0.000, 0.000)
Na (0.500, 0.000, 0.500)
Sb (0.500, 0.500, 0.000)
Se (0.000, 0.748, 0.230)
Se (0.000, 0.252, 0.770)
Se (0.500, 0.760, 0.773)
Se (0.500, 0.240, 0.227)

Computed properties:
- energy relative to the elements, uncorrected (eV per atom) = -1.171
- calculated volume (Å³/cell) = 209.0



No. 9
Na4Er3SbTe8: optimized geometry, GGA-PBE.

Unit cell a=8.827 b=9.124 c=8.827 alpha=118.94 beta=120.00 gamma=90.00
Atoms (fractional coordinates):
Te (0.258, 0.271, 0.014)
Na (0.000, 0.000, 0.500)
Er (0.500, 0.500, 0.500)
Te (0.743, 0.730, 0.486)
Na (0.000, 0.000, 0.000)
Er (0.000, 0.500, 0.500)
Te (0.756, 0.271, 0.014)
Sb (0.000, 0.500, 0.000)
Na (0.500, 0.000, 0.500)
Er (0.500, 0.500, 0.000)
Te (0.756, 0.271, 0.513)
Te (0.257, 0.270, 0.514)
Te (0.742, 0.729, 0.986)
Te (0.244, 0.729, 0.487)
Na (0.500, 0.000, 0.000)
Te (0.244, 0.729, 0.986)

Computed properties:
- energy relative to the elements, uncorrected (eV per atom) = -1.089
- calculated volume (Å³/cell) = 510.6



No. 10
Na3Er3SbTe8: optimized geometry, GGA-PBE.

Unit cell a=8.710 b=8.720 c=9.166 alpha=118.49 beta=90.00 gamma=119.96
Atoms (fractional coordinates):
Te (0.758, 0.515, 0.272)
Te (0.256, 0.513, 0.270)
Te (0.758, 0.014, 0.272)
Er (0.500, 0.000, 0.500)
Er (0.000, 0.500, 0.500)
Er (0.500, 0.500, 0.500)
Na (0.000, 0.000, 0.000)
Na (0.500, 0.500, 0.000)
Te (0.744, 0.487, 0.730)
Te (0.242, 0.986, 0.728)
Te (0.743, 0.986, 0.728)
Na (0.000, 0.500, 0.000)
Sb (0.000, 0.000, 0.500)
Te (0.242, 0.485, 0.728)
Te (0.257, 0.014, 0.272)

Computed properties:
- energy relative to the elements, uncorrected (eV per atom) = -1.025
- calculated volume (Å³/cell) = 503.5



No. 11
Na3ErSb2Te6: optimized geometry, GGA-PBE.

Unit cell a=7.685 b=7.685 c=7.985 alpha=99.21 beta=99.21 gamma=120.03
Atoms (fractional coordinates):
Er (0.000, 0.000, 0.000)
Te (0.255, 0.255, 0.769)
Te (0.745, 0.745, 0.231)
Sb (0.334, 0.666, 0.000)
Na (0.172, 0.828, 0.500)
Na (0.828, 0.172, 0.500)
Te (0.408, 0.076, 0.228)
Te (0.924, 0.592, 0.772)
Te (0.592, 0.924, 0.772)
Te (0.076, 0.408, 0.228)
Na (0.500, 0.500, 0.500)
Sb (0.666, 0.334, 0.000)

Computed properties:
- energy relative to the elements, uncorrected (eV per atom) = -0.736
- calculated volume (Å³/cell) = 386.7



No. 12
NaErSc: optimized geometry, GGA-PBE.

Unit cell a=4.048 b=4.048 c=11.794 alpha=90.00 beta=90.00 gamma=90.00
Atoms (fractional coordinates):
Er (0.500, 0.000, 0.224)
Er (0.000, 0.500, 0.776)
Sc (0.500, 0.500, 0.000)
Sc (0.000, 0.000, 0.000)
Na (0.000, 0.500, 0.419)
Na (0.500, 0.000, 0.581)

Computed properties:
- calculated volume (Å³/cell) = 193.3
- DFT formation energy (kJ/mol of formula units) = 123